The following is a DFT calculation (PBE) of crystalline PmNd3Sm3Zn2 at its relaxed geometry.

Summary:
- magnetization (μB/cell) = 0.00
- VASP energy (eV/atom) = -3.98
- formation enthalpy at 0 K (eV/f.u.) = -0.1
- density of states at the Fermi level (states/eV/cell) = 13.7

a b c (Å): 3.706 9.205 9.205
angles (deg): 120.00 90.00 90.00
Fractional positions:
Sm1 0.000 0.000 0.380
Sm2 0.000 0.380 0.000
Sm3 0.000 0.620 0.620
Zn1 0.500 0.333 0.667
Zn2 0.500 0.667 0.333
Nd1 0.500 0.688 0.000
Nd2 0.500 0.000 0.688
Nd3 0.500 0.312 0.312
Pm1 0.000 0.000 0.000

=====

The following is a DFT calculation (PBE) of crystalline PmNdSmZr at its relaxed geometry.

Summary:
- magnetization (μB/cell) = 1.21
- VASP energy (eV/atom) = -5.45
- formation enthalpy at 0 K (eV/f.u.) = 1.0
- density of states at the Fermi level (states/eV/cell) = 8.7

a b c (Å): 5.587 5.587 5.587
angles (deg): 60.00 60.00 60.00
Last column: magnetic moment on the atom in μB.
Fractional positions:
Sm1 0.500 0.500 0.500  0.10
Zr1 0.250 0.250 0.250  0.55
Pm1 0.000 0.000 0.000  0.10
Nd1 0.750 0.750 0.750  -0.02

=====

The following is a DFT calculation (PBE) of crystalline Pm5NdSn8 at its relaxed geometry.

Summary:
- magnetization (μB/cell) = 0.00
- VASP energy (eV/atom) = -4.88
- formation enthalpy at 0 K (eV/f.u.) = -7.8
- density of states at the Fermi level (states/eV/cell) = 9.6

a b c (Å): 8.216 8.216 8.216
angles (deg): 112.84 102.92 112.84
Fractional positions:
Pm1 0.500 0.000 0.500
Pm2 0.858 0.852 0.277
Pm3 0.723 0.581 0.575
Pm4 0.425 0.148 0.005
Pm5 0.995 0.419 0.142
Sn1 0.114 0.773 0.035
Sn2 0.429 0.560 0.217
Sn3 0.658 0.440 0.869
Sn4 0.131 0.789 0.571
Sn5 0.965 0.079 0.738
Sn6 0.659 0.921 0.886
Sn7 0.783 0.211 0.342
Sn8 0.262 0.227 0.341
Nd1 0.250 0.500 0.750